No. 1
VASP calculation (PBE) on crystalline Li4TlCd2 at its relaxed geometry.

Computed properties:
Mass density, kg/m³: 5352
Formation energy from the elements, kcal/mol of atoms: -4.01
E above lowest polymorph, meV per atom: 0.0

Structure (CIF):
```
data_Li4TlCd2
_cell_length_a 4.7964
_cell_length_b 4.7964
_cell_length_c 21.3513
_cell_angle_alpha 90.00
_cell_angle_beta 90.00
_cell_angle_gamma 120.00
_space_group_name_H-M_alt 'R -3 m'
_space_group_IT_number 166
_space_group_name_Hall '-R 3 2"'
loop_
_atom_site_label
_atom_site_type_symbol
_atom_site_fract_x
_atom_site_fract_y
_atom_site_fract_z
Li1 Li 0.0000 0.0000 0.0847
Li2 Li 0.0000 0.0000 0.3644
Tl1 Tl 0.0000 0.0000 0.5000
Cd1 Cd 0.0000 0.0000 0.2341
```



No. 2
VASP calculation (PBE) on crystalline Li2Tl2Cd at its relaxed geometry.

Computed properties:
Mass density, kg/m³: 7879
Formation energy from the elements, kcal/mol of atoms: -3.21
E above lowest polymorph, meV per atom: 30.8

Structure (CIF):
```
data_Li2Tl2Cd
_cell_length_a 8.214
_cell_length_b 8.214
_cell_length_c 3.343
_cell_angle_alpha 90.00
_cell_angle_beta 90.00
_cell_angle_gamma 90.00
_space_group_name_H-M_alt 'P 4/m b m'
_space_group_IT_number 127
_space_group_name_Hall '-P 4 2ab'
loop_
_atom_site_label
_atom_site_type_symbol
_atom_site_fract_x
_atom_site_fract_y
_atom_site_fract_z
Li1 Li 0.160 0.340 0.000
Tl1 Tl 0.140 0.640 0.500
Cd1 Cd 0.000 0.000 0.500
```



No. 3
VASP calculation (PBE) on crystalline Li5Tl2Cd2 at its relaxed geometry.

Computed properties:
Mass density, kg/m³: 6260
Formation energy from the elements, kcal/mol of atoms: -5.25
E above lowest polymorph, meV per atom: 0.0

Structure (CIF):
```
data_Li5Tl2Cd2
_cell_length_a 8.544
_cell_length_b 4.701
_cell_length_c 8.849
_cell_angle_alpha 90.00
_cell_angle_beta 93.99
_cell_angle_gamma 90.00
_space_group_name_H-M_alt 'C 1 2/m 1'
_space_group_IT_number 12
_space_group_name_Hall '-C 2y'
loop_
_atom_site_label
_atom_site_type_symbol
_atom_site_fract_x
_atom_site_fract_y
_atom_site_fract_z
Li1 Li 0.000 0.000 0.000
Li2 Li 0.002 0.000 0.342
Li3 Li 0.171 0.500 0.226
Tl1 Tl 0.162 0.500 0.890
Cd1 Cd 0.166 0.500 0.548
```



No. 4
VASP calculation (PBE) on crystalline LiTlCd at its relaxed geometry.

Computed properties:
Mass density, kg/m³: 7929
Formation energy from the elements, kcal/mol of atoms: -2.91
E above lowest polymorph, meV per atom: 0.0

Structure (CIF):
```
data_LiTlCd
_cell_length_a 3.409
_cell_length_b 4.399
_cell_length_c 9.042
_cell_angle_alpha 90.00
_cell_angle_beta 90.00
_cell_angle_gamma 90.00
_space_group_name_H-M_alt 'I m m 2'
_space_group_IT_number 44
_space_group_name_Hall 'I 2 -2'
loop_
_atom_site_label
_atom_site_type_symbol
_atom_site_fract_x
_atom_site_fract_y
_atom_site_fract_z
Li1 Li 0.000 0.000 0.000
Tl1 Tl 0.000 0.000 0.331
Cd1 Cd 0.000 0.000 0.663
```



No. 5
VASP calculation (PBE) on crystalline Li7TlCd3 at its relaxed geometry.

Computed properties:
Mass density, kg/m³: 4313
Formation energy from the elements, kcal/mol of atoms: -2.39
E above lowest polymorph, meV per atom: 48.8

Structure (CIF):
```
data_Li7TlCd3
_cell_length_a 10.239
_cell_length_b 9.957
_cell_length_c 5.094
_cell_angle_alpha 90.00
_cell_angle_beta 118.96
_cell_angle_gamma 90.00
_space_group_name_H-M_alt 'C 1 2/m 1'
_space_group_IT_number 12
_space_group_name_Hall '-C 2y'
loop_
_atom_site_label
_atom_site_type_symbol
_atom_site_fract_x
_atom_site_fract_y
_atom_site_fract_z
Li1 Li 0.000 0.000 0.000
Li2 Li 0.173 0.268 0.673
Li3 Li 0.184 0.500 0.178
Tl1 Tl 0.000 0.000 0.500
Cd1 Cd 0.000 0.274 0.000
Cd2 Cd 0.000 0.500 0.500
```



No. 6
VASP calculation (PBE) on crystalline Li5Tl3Cd at its relaxed geometry.

Computed properties:
Mass density, kg/m³: 6961
Formation energy from the elements, kcal/mol of atoms: -4.90

Structure (CIF):
```
data_Li5Tl3Cd
_cell_length_a 8.5046
_cell_length_b 8.5046
_cell_length_c 5.7904
_cell_angle_alpha 90.00
_cell_angle_beta 90.00
_cell_angle_gamma 120.00
_space_group_name_H-M_alt 'P 63/m c m'
_space_group_IT_number 193
_space_group_name_Hall '-P 6c 2'
loop_
_atom_site_label
_atom_site_type_symbol
_atom_site_fract_x
_atom_site_fract_y
_atom_site_fract_z
Li1 Li 0.0000 0.3016 0.2500
Li2 Li 0.3333 0.6667 0.0000
Tl1 Tl 0.0000 0.3664 0.7500
Cd1 Cd 0.0000 0.0000 0.0000
```



No. 7
VASP calculation (PBE) on crystalline Li2TlCd2 at its relaxed geometry.

Computed properties:
Mass density, kg/m³: 6972
Formation energy from the elements, kcal/mol of atoms: -3.32
E above lowest polymorph, meV per atom: 30.9

Structure (CIF):
```
data_Li2TlCd2
_cell_length_a 7.925
_cell_length_b 7.925
_cell_length_c 3.360
_cell_angle_alpha 90.00
_cell_angle_beta 90.00
_cell_angle_gamma 90.00
_space_group_name_H-M_alt 'P 4/m b m'
_space_group_IT_number 127
_space_group_name_Hall '-P 4 2ab'
loop_
_atom_site_label
_atom_site_type_symbol
_atom_site_fract_x
_atom_site_fract_y
_atom_site_fract_z
Li1 Li 0.149 0.351 0.000
Tl1 Tl 0.000 0.000 0.000
Cd1 Cd 0.143 0.643 0.500
```



No. 8
VASP calculation (PBE) on crystalline Li12Tl2Cd at its relaxed geometry.

Computed properties:
Mass density, kg/m³: 3194
Formation energy from the elements, kcal/mol of atoms: 0.22

Structure (CIF):
```
data_Li12Tl2Cd
_cell_length_a 5.494
_cell_length_b 5.494
_cell_length_c 20.823
_cell_angle_alpha 90.00
_cell_angle_beta 90.00
_cell_angle_gamma 90.00
_space_group_name_H-M_alt 'P 4/n b m'
_space_group_IT_number 125
loop_
_space_group_symop_operation_xyz
'x,y,z'
'-x,-y,-z'
'-y+1/2,x,z'
'y+1/2,-x,-z'
'-x+1/2,-y+1/2,z'
'x+1/2,y+1/2,-z'
'y,-x+1/2,z'
'-y,x+1/2,-z'
'x,-y+1/2,-z'
'-x,y+1/2,z'
'-y+1/2,-x+1/2,-z'
'y+1/2,x+1/2,z'
'-x+1/2,y,-z'
'x+1/2,-y,z'
'y,x,-z'
'-y,-x,z'
loop_
_atom_site_label
_atom_site_type_symbol
_atom_site_fract_x
_atom_site_fract_y
_atom_site_fract_z
Li1 Li 0.000 0.000 0.101
Li2 Li 0.070 0.570 0.440
Li3 Li 0.250 0.250 0.211
Li4 Li 0.250 0.250 0.340
Tl1 Tl 0.250 0.750 0.286
Cd1 Cd 0.250 0.750 0.000
```



No. 9
VASP calculation (PBE) on crystalline Li6TlCd6 at its relaxed geometry.

Computed properties:
Mass density, kg/m³: 5378
Formation energy from the elements, kcal/mol of atoms: -3.37

Structure (CIF):
```
data_Li6TlCd6
_cell_length_a 5.7571
_cell_length_b 5.7571
_cell_length_c 9.9019
_cell_angle_alpha 90.00
_cell_angle_beta 90.00
_cell_angle_gamma 120.00
_space_group_name_H-M_alt 'P 6/m m m'
_space_group_IT_number 191
_space_group_name_Hall '-P 6 2'
loop_
_atom_site_label
_atom_site_type_symbol
_atom_site_fract_x
_atom_site_fract_y
_atom_site_fract_z
Li1 Li 0.0000 0.0000 0.1584
Li2 Li 0.3333 0.6667 0.0000
Li3 Li 0.3333 0.6667 0.5000
Tl1 Tl 0.0000 0.0000 0.5000
Cd1 Cd 0.0000 0.5000 0.2482
```



No. 10
VASP calculation (PBE) on crystalline Li2Tl8Cd at its relaxed geometry.

Computed properties:
Mass density, kg/m³: 9710
Formation energy from the elements, kcal/mol of atoms: -0.56

Structure (CIF):
```
data_Li2Tl8Cd
_cell_length_a 15.380
_cell_length_b 6.521
_cell_length_c 6.013
_cell_angle_alpha 90.00
_cell_angle_beta 92.65
_cell_angle_gamma 90.00
_space_group_name_H-M_alt 'C 1 2/m 1'
_space_group_IT_number 12
_space_group_name_Hall '-C 2y'
loop_
_atom_site_label
_atom_site_type_symbol
_atom_site_fract_x
_atom_site_fract_y
_atom_site_fract_z
Li1 Li 0.243 0.000 0.123
Tl1 Tl 0.090 0.000 0.381
Tl2 Tl 0.096 0.250 0.886
Tl3 Tl 0.210 0.500 0.363
Cd1 Cd 0.000 0.500 0.500
```



No. 11
VASP calculation (PBE) on crystalline Li3Tl3Cd2 at its relaxed geometry.

Computed properties:
Mass density, kg/m³: 8142
Formation energy from the elements, kcal/mol of atoms: -3.69
E above lowest polymorph, meV per atom: 0.0

Structure (CIF):
```
data_Li3Tl3Cd2
_cell_length_a 3.788
_cell_length_b 4.801
_cell_length_c 19.264
_cell_angle_alpha 90.00
_cell_angle_beta 90.00
_cell_angle_gamma 90.00
_space_group_name_H-M_alt 'I m m m'
_space_group_IT_number 71
_space_group_name_Hall '-I 2 2'
loop_
_atom_site_label
_atom_site_type_symbol
_atom_site_fract_x
_atom_site_fract_y
_atom_site_fract_z
Li1 Li 0.000 0.000 0.000
Li2 Li 0.000 0.500 0.128
Tl1 Tl 0.000 0.000 0.500
Tl2 Tl 0.000 0.500 0.378
Cd1 Cd 0.000 0.000 0.253
```



No. 12
VASP calculation (PBE) on crystalline Li7Tl4Cd at its relaxed geometry.

Computed properties:
Mass density, kg/m³: 6383
Formation energy from the elements, kcal/mol of atoms: -3.27
E above lowest polymorph, meV per atom: 49.8

Structure (CIF):
```
data_Li7Tl4Cd
_cell_length_a 13.809
_cell_length_b 5.123
_cell_length_c 8.373
_cell_angle_alpha 90.00
_cell_angle_beta 120.74
_cell_angle_gamma 90.00
_space_group_name_H-M_alt 'C 1 2/m 1'
_space_group_IT_number 12
_space_group_name_Hall '-C 2y'
loop_
_atom_site_label
_atom_site_type_symbol
_atom_site_fract_x
_atom_site_fract_y
_atom_site_fract_z
Li1 Li 0.000 0.000 0.000
Li2 Li 0.074 0.500 0.418
Li3 Li 0.202 0.500 0.880
Li4 Li 0.229 0.500 0.256
Tl1 Tl 0.069 0.000 0.722
Tl2 Tl 0.184 0.000 0.350
Cd1 Cd 0.000 0.500 0.000
```



No. 13
VASP calculation (PBE) on crystalline Li2TlCd2 at its relaxed geometry.

Computed properties:
Mass density, kg/m³: 6877
Formation energy from the elements, kcal/mol of atoms: -2.99
E above lowest polymorph, meV per atom: 45.2

Structure (CIF):
```
data_Li2TlCd2
_cell_length_a 2.993
_cell_length_b 4.816
_cell_length_c 29.693
_cell_angle_alpha 90.00
_cell_angle_beta 90.00
_cell_angle_gamma 90.00
_space_group_name_H-M_alt 'I m m a'
_space_group_IT_number 74
_space_group_name_Hall '-I 2b 2'
loop_
_atom_site_label
_atom_site_type_symbol
_atom_site_fract_x
_atom_site_fract_y
_atom_site_fract_z
Li1 Li 0.000 0.250 0.025
Li2 Li 0.000 0.250 0.117
Tl1 Tl 0.000 0.250 0.567
Cd1 Cd 0.000 0.250 0.294
Cd2 Cd 0.000 0.250 0.829
```



No. 14
VASP calculation (PBE) on crystalline Li2TlCd2 at its relaxed geometry.

Computed properties:
Mass density, kg/m³: 6238
Formation energy from the elements, kcal/mol of atoms: -1.05
E above lowest polymorph, meV per atom: 129.6

Structure (CIF):
```
data_Li2TlCd2
_cell_length_a 4.124
_cell_length_b 4.124
_cell_length_c 13.867
_cell_angle_alpha 90.00
_cell_angle_beta 90.00
_cell_angle_gamma 90.00
_space_group_name_H-M_alt 'I 4/m m m'
_space_group_IT_number 139
_space_group_name_Hall '-I 4 2'
loop_
_atom_site_label
_atom_site_type_symbol
_atom_site_fract_x
_atom_site_fract_y
_atom_site_fract_z
Li1 Li 0.000 0.500 0.250
Tl1 Tl 0.000 0.000 0.000
Cd1 Cd 0.000 0.000 0.392
```



No. 15
VASP calculation (PBE) on crystalline Li6TlCd3 at its relaxed geometry.

Computed properties:
Mass density, kg/m³: 5214
Formation energy from the elements, kcal/mol of atoms: -5.31
E above lowest polymorph, meV per atom: 0.0

Structure (CIF):
```
data_Li6TlCd3
_cell_length_a 8.315
_cell_length_b 4.653
_cell_length_c 9.922
_cell_angle_alpha 90.00
_cell_angle_beta 104.55
_cell_angle_gamma 90.00
_space_group_name_H-M_alt 'P 1 21/m 1'
_space_group_IT_number 11
_space_group_name_Hall '-P 2yb'
loop_
_atom_site_label
_atom_site_type_symbol
_atom_site_fract_x
_atom_site_fract_y
_atom_site_fract_z
Li1 Li 0.047 0.250 0.398
Li2 Li 0.146 0.750 0.197
Li3 Li 0.250 0.250 0.994
Li4 Li 0.344 0.750 0.803
Li5 Li 0.351 0.250 0.299
Li6 Li 0.445 0.250 0.597
Tl1 Tl 0.448 0.750 0.110
Cd1 Cd 0.042 0.750 0.898
Cd2 Cd 0.145 0.250 0.695
Cd3 Cd 0.251 0.750 0.496
```



No. 16
VASP calculation (PBE) on crystalline Li2TlCd at its relaxed geometry.

Computed properties:
Mass density, kg/m³: 5562
Formation energy from the elements, kcal/mol of atoms: 1.54

Structure (CIF):
```
data_Li2TlCd
_cell_length_a 3.097
_cell_length_b 5.727
_cell_length_c 11.133
_cell_angle_alpha 90.00
_cell_angle_beta 90.00
_cell_angle_gamma 90.00
_space_group_name_H-M_alt 'I m m m'
_space_group_IT_number 71
_space_group_name_Hall '-I 2 2'
loop_
_atom_site_label
_atom_site_type_symbol
_atom_site_fract_x
_atom_site_fract_y
_atom_site_fract_z
Li1 Li 0.000 0.000 0.249
Tl1 Tl 0.000 0.000 0.500
Cd1 Cd 0.000 0.000 0.000
```



No. 17
VASP calculation (PBE) on crystalline Li6TlCd5 at its relaxed geometry.

Computed properties:
Mass density, kg/m³: 5974
Formation energy from the elements, kcal/mol of atoms: -5.75
E above lowest polymorph, meV per atom: 0.0

Structure (CIF):
```
data_Li6TlCd5
_cell_length_a 4.633
_cell_length_b 14.010
_cell_length_c 6.922
_cell_angle_alpha 90.00
_cell_angle_beta 90.25
_cell_angle_gamma 90.00
_space_group_name_H-M_alt 'C 1 2/m 1'
_space_group_IT_number 12
_space_group_name_Hall '-C 2y'
loop_
_atom_site_label
_atom_site_type_symbol
_atom_site_fract_x
_atom_site_fract_y
_atom_site_fract_z
Li1 Li 0.000 0.000 0.248
Li2 Li 0.000 0.333 0.246
Tl1 Tl 0.000 0.500 0.500
Cd1 Cd 0.000 0.166 0.000
Cd2 Cd 0.000 0.170 0.500
Cd3 Cd 0.000 0.500 0.000
```



No. 18
VASP calculation (PBE) on crystalline LiTlCd2 at its relaxed geometry.

Computed properties:
Mass density, kg/m³: 7750
Formation energy from the elements, kcal/mol of atoms: -1.54

Structure (CIF):
```
data_LiTlCd2
_cell_length_a 3.2799
_cell_length_b 3.2799
_cell_length_c 30.0903
_cell_angle_alpha 90.00
_cell_angle_beta 90.00
_cell_angle_gamma 120.00
_space_group_name_H-M_alt 'R -3 m'
_space_group_IT_number 166
_space_group_name_Hall '-R 3 2"'
loop_
_atom_site_label
_atom_site_type_symbol
_atom_site_fract_x
_atom_site_fract_y
_atom_site_fract_z
Li1 Li 0.0000 0.0000 0.0000
Tl1 Tl 0.0000 0.0000 0.5000
Cd1 Cd 0.0000 0.0000 0.2580
```



No. 19
VASP calculation (PBE) on crystalline Li3TlCd2 at its relaxed geometry.

Computed properties:
Mass density, kg/m³: 6517
Formation energy from the elements, kcal/mol of atoms: -5.79

Structure (CIF):
```
data_Li3TlCd2
_cell_length_a 3.266
_cell_length_b 3.266
_cell_length_c 10.754
_cell_angle_alpha 90.00
_cell_angle_beta 90.00
_cell_angle_gamma 90.00
_space_group_name_H-M_alt 'P 4/m m m'
_space_group_IT_number 123
_space_group_name_Hall '-P 4 2'
loop_
_atom_site_label
_atom_site_type_symbol
_atom_site_fract_x
_atom_site_fract_y
_atom_site_fract_z
Li1 Li 0.000 0.000 0.000
Li2 Li 0.000 0.000 0.326
Tl1 Tl 0.500 0.500 0.500
Cd1 Cd 0.500 0.500 0.160
```



No. 20
VASP calculation (PBE) on crystalline Li7TlCd4 at its relaxed geometry.

Computed properties:
Mass density, kg/m³: 5192
Formation energy from the elements, kcal/mol of atoms: -5.11
E above lowest polymorph, meV per atom: 0.0

Structure (CIF):
```
data_Li7TlCd4
_cell_length_a 4.7432
_cell_length_b 4.7432
_cell_length_c 11.5339
_cell_angle_alpha 90.00
_cell_angle_beta 90.00
_cell_angle_gamma 120.00
_space_group_name_H-M_alt 'P -3 m 1'
_space_group_IT_number 164
_space_group_name_Hall '-P 3 2"'
loop_
_atom_site_label
_atom_site_type_symbol
_atom_site_fract_x
_atom_site_fract_y
_atom_site_fract_z
Li1 Li 0.0000 0.0000 0.0000
Li2 Li 0.0000 0.0000 0.2471
Li3 Li 0.3333 0.6667 0.1693
Li4 Li 0.3333 0.6667 0.4219
Tl1 Tl 0.0000 0.0000 0.5000
Cd1 Cd 0.3333 0.6667 0.6751
Cd2 Cd 0.3333 0.6667 0.9275
```